(1)
{"formula": "MnTl2GeTe4", "functional": "PBEsol", "state": "relaxed", "e_tot_ev_per_atom": -4.3702, "raw_formation_energy_ev_per_atom": -0.112, "lattice_angstrom": [[8.328, 0.000, 0.000], [0.000, 8.328, 0.000], [0.000, 0.000, 6.777]], "species": ["Mn", "Mn", "Tl", "Tl", "Tl", "Tl", "Ge", "Ge", "Te", "Te", "Te", "Te", "Te", "Te", "Te", "Te"], "frac_coords": [[0.000, 0.000, 0.000], [0.500, 0.500, 0.500], [0.000, 0.500, 0.000], [0.000, 0.500, 0.500], [0.500, 0.000, 0.000], [0.500, 0.000, 0.500], [0.000, 0.000, 0.500], [0.500, 0.500, 0.000], [0.175, 0.175, 0.741], [0.175, 0.825, 0.259], [0.325, 0.325, 0.241], [0.325, 0.675, 0.759], [0.675, 0.325, 0.759], [0.675, 0.675, 0.241], [0.825, 0.175, 0.259], [0.825, 0.825, 0.741]]}



(2)
{"formula": "YMnGe2", "functional": "PBEsol", "state": "relaxed", "e_tot_ev_per_atom": -6.7474, "lattice_angstrom": [[6.610, 0.000, 0.000], [0.000, 6.610, 0.000], [0.000, 0.000, 6.610]], "species": ["Y", "Y", "Y", "Y", "Mn", "Mn", "Mn", "Mn", "Ge", "Ge", "Ge", "Ge", "Ge", "Ge", "Ge", "Ge"], "frac_coords": [[0.000, 0.000, 0.000], [0.000, 0.500, 0.500], [0.500, 0.000, 0.500], [0.500, 0.500, 0.000], [0.000, 0.000, 0.500], [0.000, 0.500, 0.000], [0.500, 0.000, 0.000], [0.500, 0.500, 0.500], [0.250, 0.250, 0.250], [0.250, 0.250, 0.750], [0.250, 0.750, 0.250], [0.250, 0.750, 0.750], [0.750, 0.250, 0.250], [0.750, 0.250, 0.750], [0.750, 0.750, 0.250], [0.750, 0.750, 0.750]]}



(3)
{"formula": "Mn3ZnGe", "functional": "PBEsol", "state": "relaxed", "e_tot_ev_per_atom": -6.2428, "lattice_angstrom": [[4.445, 0.000, 0.000], [0.000, 4.445, 0.000], [0.000, 0.000, 4.445]], "species": ["Mn", "Mn", "Mn", "Zn", "Ge"], "frac_coords": [[0.000, 0.000, 0.500], [0.000, 0.500, 0.000], [0.500, 0.000, 0.000], [0.500, 0.500, 0.500], [0.000, 0.000, 0.000]]}



(4)
{"formula": "ZrMn6Ge6", "functional": "PBEsol", "state": "relaxed", "e_tot_ev_per_atom": -7.8162, "lattice_angstrom": [[5.041, 0.000, 0.000], [-2.520, 4.365, 0.000], [0.000, 0.000, 7.998]], "species": ["Zr", "Mn", "Mn", "Mn", "Mn", "Mn", "Mn", "Ge", "Ge", "Ge", "Ge", "Ge", "Ge"], "frac_coords": [[0.000, 0.000, 0.000], [0.000, 0.500, 0.249], [0.000, 0.500, 0.751], [0.500, 0.000, 0.249], [0.500, 0.000, 0.751], [0.500, 0.500, 0.249], [0.500, 0.500, 0.751], [0.000, 0.000, 0.340], [0.000, 0.000, 0.660], [0.333, 0.667, 0.000], [0.333, 0.667, 0.500], [0.667, 0.333, 0.000], [0.667, 0.333, 0.500]]}



(5)
{"formula": "Ge3Mo5", "functional": "PBEsol", "state": "relaxed", "e_tot_ev_per_atom": -9.3763, "lattice_angstrom": [[-4.897, 4.897, 2.464], [4.897, -4.897, 2.464], [4.897, 4.897, -2.464]], "species": ["Ge", "Ge", "Ge", "Ge", "Ge", "Ge", "Mo", "Mo", "Mo", "Mo", "Mo", "Mo", "Mo", "Mo", "Mo", "Mo"], "frac_coords": [[0.168, 0.668, 0.836], [0.250, 0.250, 0.000], [0.332, 0.168, 0.500], [0.668, 0.832, 0.500], [0.750, 0.750, 0.000], [0.832, 0.332, 0.164], [0.077, 0.230, 0.307], [0.230, 0.923, 0.153], [0.250, 0.750, 0.500], [0.270, 0.423, 0.693], [0.423, 0.730, 0.153], [0.577, 0.270, 0.847], [0.730, 0.577, 0.307], [0.750, 0.250, 0.500], [0.770, 0.077, 0.847], [0.923, 0.770, 0.693]]}



(6)
{"formula": "GeMoSeN2", "functional": "PBEsol", "state": "relaxed", "e_tot_ev_per_atom": -6.2086, "raw_formation_energy_ev_per_atom": 1.314, "lattice_angstrom": [[3.777, 0.000, 0.000], [0.000, 3.777, 0.000], [0.000, 0.000, 4.932]], "species": ["Ge", "Mo", "Se", "N", "N"], "frac_coords": [[0.000, 0.000, 0.000], [0.500, 0.500, 0.500], [0.000, 0.000, 0.500], [0.000, 0.500, 0.000], [0.500, 0.000, 0.000]]}



(7)
{"formula": "NaGeMo3", "functional": "PBEsol", "state": "relaxed", "e_tot_ev_per_atom": -5.6575, "lattice_angstrom": [[4.466, 0.000, 0.000], [0.000, 4.466, 0.000], [0.000, 0.000, 4.466]], "species": ["Na", "Ge", "Mo", "Mo", "Mo"], "frac_coords": [[0.000, 0.000, 0.000], [0.500, 0.500, 0.500], [0.000, 0.000, 0.500], [0.000, 0.500, 0.000], [0.500, 0.000, 0.000]]}



(8)
{"formula": "NaGeMoRu2", "functional": "PBEsol", "state": "relaxed", "e_tot_ev_per_atom": -5.2084, "lattice_angstrom": [[4.395, 0.000, 0.000], [0.000, 4.395, 0.000], [0.000, 0.000, 4.468]], "species": ["Na", "Ge", "Mo", "Ru", "Ru"], "frac_coords": [[0.000, 0.000, 0.000], [0.500, 0.500, 0.500], [0.000, 0.000, 0.500], [0.000, 0.500, 0.000], [0.500, 0.000, 0.000]]}



(9)
{"formula": "Nb3SnGeMo3", "functional": "PBEsol", "state": "relaxed", "e_tot_ev_per_atom": -9.8453, "lattice_angstrom": [[3.597, 2.077, 2.941], [-3.597, 2.077, 2.941], [0.000, -4.154, 2.941]], "species": ["Nb", "Nb", "Nb", "Sn", "Ge", "Mo", "Mo", "Mo"], "frac_coords": [[0.084, 0.587, 0.330], [0.330, 0.084, 0.587], [0.587, 0.330, 0.084], [0.586, 0.586, 0.586], [0.085, 0.085, 0.085], [0.084, 0.586, 0.837], [0.586, 0.837, 0.084], [0.837, 0.084, 0.586]]}



(10)
{"formula": "GeMoO2", "functional": "PBEsol", "state": "relaxed", "e_tot_ev_per_atom": -7.5238, "raw_formation_energy_ev_per_atom": -0.722, "lattice_angstrom": [[2.974, 0.000, 0.000], [-1.487, 2.575, 0.000], [0.000, 0.000, 19.700]], "species": ["Ge", "Ge", "Ge", "Mo", "Mo", "Mo", "O", "O", "O", "O", "O", "O"], "frac_coords": [[0.000, 0.000, 0.000], [0.333, 0.667, 0.667], [0.667, 0.333, 0.333], [0.000, 0.000, 0.500], [0.333, 0.667, 0.167], [0.667, 0.333, 0.833], [0.000, 0.000, 0.403], [0.000, 0.000, 0.597], [0.333, 0.667, 0.069], [0.333, 0.667, 0.264], [0.667, 0.333, 0.736], [0.667, 0.333, 0.931]]}



(11)
{"formula": "GeMoSe2O", "functional": "PBEsol", "state": "relaxed", "e_tot_ev_per_atom": -5.4332, "raw_formation_energy_ev_per_atom": 0.498, "lattice_angstrom": [[4.359, 0.000, 0.000], [0.000, 4.359, 0.000], [0.000, 0.000, 4.220]], "species": ["Ge", "Mo", "Se", "Se", "O"], "frac_coords": [[0.000, 0.000, 0.000], [0.500, 0.500, 0.000], [0.000, 0.500, 0.500], [0.500, 0.000, 0.500], [0.000, 0.000, 0.500]]}



(12)
{"formula": "Ge3MoOs", "functional": "PBEsol", "state": "relaxed", "e_tot_ev_per_atom": -6.2510, "lattice_angstrom": [[4.748, 0.000, 0.000], [0.000, 4.748, 0.000], [0.000, 0.000, 4.748]], "species": ["Ge", "Ge", "Ge", "Mo", "Os"], "frac_coords": [[0.000, 0.000, 0.500], [0.000, 0.500, 0.000], [0.500, 0.000, 0.000], [0.000, 0.000, 0.000], [0.500, 0.500, 0.500]]}